This record from Alexandria describes a relaxed structure of RbSrPrI6. The functional is PBE-GGA.

Fermi-level density of states = 0.00 states/eV per atom
M_tot = 0.00 μB per cell

Cell lengths 8.386, 8.386, 15.886 Å; angles 90.00, 90.00, 120.00 degrees
Element x y z (fractional)
Rb: 0.000 0.000 0.000
Rb: 0.000 0.000 0.500
Sr: 0.333 0.667 0.250
Sr: 0.667 0.333 0.750
Pr: 0.667 0.333 0.250
Pr: 0.333 0.667 0.750
I: 0.636 0.624 0.134
I: 0.987 0.364 0.134
I: 0.364 0.987 0.634
I: 0.013 0.636 0.866
I: 0.376 0.364 0.366
I: 0.987 0.624 0.366
I: 0.624 0.987 0.866
I: 0.636 0.013 0.366
I: 0.013 0.376 0.634
I: 0.376 0.013 0.134
I: 0.624 0.636 0.634
I: 0.364 0.376 0.866

=====

This record from Alexandria describes a relaxed structure of LaTbN2. The functional is PBE-GGA.

M_tot = 0.00 μB per cell

Cell lengths 3.550, 3.550, 6.522 Å; angles 74.21, 74.21, 60.00 degrees
Element x y z (fractional)
La: 0.674 0.674 0.979
Tb: 0.504 0.504 0.489
N: 0.081 0.081 0.756
N: 0.241 0.241 0.276

=====

This record from Alexandria describes a relaxed structure of ScCdTe2. The functional is PBE-GGA.

Fermi-level density of states = 0.45 states/eV per atom
M_tot = 0.00 μB per cell

Cell lengths 7.561, 7.561, 7.561 Å; angles 150.18, 148.66, 43.80 degrees
Element x y z (fractional)
Cd: 0.466 0.466 0.000
Sc: 0.205 0.705 0.500
Te: 0.047 0.047 0.000
Te: 0.782 0.282 0.500

=====

How do the records compare in uncorrected energy? In the order shown, they have -3.4010, -7.7969, -4.0316 eV per atom.